A relaxed structure of SrHfIr2. Source: the Open Quantum Materials Database, functional PBE.

As for the electronic total energy: -113.5 eV/cell.

The structure belongs to space group F-43m (No. 216); the cell edges are 6.7102, 6.7102 and 6.7102 Å and the angles 90.00°, 90.00° and 90.00°. The asymmetric unit holds Sr at (0.0000, 0.0000, 0.0000), Hf at (0.2500, 0.2500, 0.2500), Ir at (0.0000, 0.0000, 0.5000) and Ir at (0.2500, 0.2500, 0.7500).

A relaxed structure of Zr3Al3CoCuNi. Source: the Open Quantum Materials Database, functional PBE.

As for the electronic total energy: -58.4 eV/cell.

The structure belongs to space group P-6 (No. 174); the cell edges are 6.9346, 6.9346 and 3.4877 Å and the angles 90.00°, 90.00° and 120.00°. The asymmetric unit holds Zr at (0.0812, 0.7323, 0.0000), Al at (0.4151, 0.0872, 0.5000), Co at (0.3333, 0.6667, 0.5000), Cu at (0.0000, 0.0000, 0.5000) and Ni at (0.6667, 0.3333, 0.0000).

A relaxed structure of GdNbNO. Source: the Open Quantum Materials Database, functional PBE.

The value obtained for the energy above the most stable polymorph in this dataset is 0.68 eV per formula unit.

The structure belongs to space group Pmc2_1 (No. 26); the cell edges are 3.4605, 6.0178 and 5.8591 Å and the angles 90.00°, 90.00° and 90.00°. The asymmetric unit holds Gd at (0.0000, 0.1676, 0.0000), Nb at (0.5000, 0.3913, 0.4319), N at (0.0000, 0.2089, 0.3961) and O at (0.5000, 0.2762, 0.7842).

A relaxed structure of GdDyNO. Source: the Open Quantum Materials Database, functional PBE.

The value obtained for the energy above the most stable polymorph in this dataset is 0.09 eV per formula unit.

The structure belongs to space group Pbcm (No. 57); the cell edges are 8.0904, 6.6499 and 4.9529 Å and the angles 90.00°, 90.00° and 90.00°. The asymmetric unit holds Gd at (0.1230, 0.0697, 0.2500), Dy at (0.3743, 0.5836, 0.2500), N at (0.3771, 0.5726, 0.7500) and O at (0.1351, 0.0919, 0.7500).

Q: Which formula does entry 4 have?
A: GdDyNO